(1)
Density functional theory data (PBE-GGA) for an optimized crystal structure of Fe4IrRh5.

M_tot (μB/atom): 1.49
V (Å³ per atom): 15.28
Formation enthalpy at 0 K (eV/atom): 0.35

Lattice parameters (Å, degrees): 4.2109 6.3968 6.3968 78.36 70.78 70.78
With the nearest neighbours (Å) after each atom.
Sites, in units of the cell vectors:
Rh  0.9920  0.0953  0.4208  4 Rh 2.54-2.63, 4 Fe 2.63-2.82, 1 Ir 2.66
Rh  0.5080  0.9047  0.5792  4 Rh 2.54-2.63, 4 Fe 2.63-2.82, 1 Ir 2.66
Rh  0.7500  0.5000  0.5000  4 Rh 2.54, 4 Fe 2.55
Rh  0.9920  0.4208  0.0953  4 Rh 2.54-2.63, 4 Fe 2.63-2.82, 1 Ir 2.66
Ir  0.2500  0.0000  0.0000  6 Fe 2.55-2.61, 4 Rh 2.66
Fe  0.9104  0.8396  0.8396  2 Ir 2.55, 6 Rh 2.63-2.82
Fe  0.2500  0.6770  0.3230  4 Rh 2.55-2.65, 1 Ir 2.61
Fe  0.5896  0.1604  0.1604  2 Ir 2.55, 6 Rh 2.63-2.82
Rh  0.5080  0.5792  0.9047  4 Rh 2.54-2.63, 4 Fe 2.63-2.82, 1 Ir 2.66
Fe  0.2500  0.3230  0.6770  4 Rh 2.55-2.65, 1 Ir 2.61

---

(2)
Density functional theory data (PBE-GGA) for an optimized crystal structure of FeIr9Rh2.

M_tot (μB/atom): 0.14
V (Å³ per atom): 14.26
Formation enthalpy at 0 K (eV/atom): -0.02

Lattice parameters (Å, degrees): 3.8533 3.8533 11.5265 90.00 90.00 90.00
With the nearest neighbours (Å) after each atom.
Sites, in units of the cell vectors:
Rh  0.0000  0.0000  0.6674  12 Ir 2.72-2.74
Ir  0.5000  0.0000  0.1630  2 Fe 2.69, 8 Ir 2.69-2.74, 2 Rh 2.74
Ir  0.5000  0.0000  0.8370  2 Fe 2.69, 8 Ir 2.69-2.74, 2 Rh 2.74
Fe  0.0000  0.0000  0.0000  12 Ir 2.69-2.72
Ir  0.5000  0.5000  0.6676  4 Rh 2.72, 8 Ir 2.73-2.74
Ir  0.0000  0.5000  0.1630  2 Fe 2.69, 8 Ir 2.69-2.74, 2 Rh 2.74
Ir  0.5000  0.5000  0.3324  4 Rh 2.72, 8 Ir 2.73-2.74
Ir  0.5000  0.0000  0.5000  8 Ir 2.72-2.73, 4 Rh 2.73
Ir  0.0000  0.5000  0.8370  2 Fe 2.69, 8 Ir 2.69-2.74, 2 Rh 2.74
Ir  0.5000  0.5000  0.0000  8 Ir 2.69, 4 Fe 2.72
Rh  0.0000  0.0000  0.3326  12 Ir 2.72-2.74
Ir  0.0000  0.5000  0.5000  8 Ir 2.72-2.73, 4 Rh 2.73

---

(3)
Density functional theory data (PBE-GGA) for an optimized crystal structure of Fe2IrRh.

M_tot (μB/atom): 1.35
V (Å³ per atom): 13.37
Formation enthalpy at 0 K (eV/atom): 0.04

Lattice parameters (Å, degrees): 8.6002 8.6002 8.6002 18.07 18.07 18.07
With the nearest neighbours (Å) after each atom.
Sites, in units of the cell vectors:
Fe  0.9983  0.9983  0.9983  9 Fe 2.56-2.70, 3 Rh 2.59
Ir  0.5036  0.5036  0.5036  3 Fe 2.59, 6 Ir 2.70, 3 Rh 2.77
Rh  0.7465  0.7465  0.7465  3 Fe 2.59, 6 Rh 2.70, 3 Ir 2.77
Fe  0.2516  0.2516  0.2516  9 Fe 2.56-2.70, 3 Ir 2.59

---

(4)
Density functional theory data (PBE-GGA) for an optimized crystal structure of Fe4Ir5Rh2.

M_tot (μB/atom): 0.92
V (Å³ per atom): 14.32
Formation enthalpy at 0 K (eV/atom): 0.24

Lattice parameters (Å, degrees): 4.0912 4.7644 8.8379 109.37 103.38 90.00
With the nearest neighbours (Å) after each atom.
Sites, in units of the cell vectors:
Rh  0.4167  0.4094  0.8333  3 Fe 2.40-2.45, 1 Ir 2.69
Ir  0.1974  0.8807  0.3948  5 Fe 2.59-2.89, 4 Ir 2.65-2.71, 2 Rh 2.84
Rh  0.5833  0.5906  0.1667  3 Fe 2.40-2.45, 1 Ir 2.69
Fe  0.2810  0.4477  0.5620  1 Rh 2.40, 2 Fe 2.44, 6 Ir 2.55-2.68
Ir  0.8761  0.7064  0.7522  5 Fe 2.47-2.66, 2 Ir 2.65-2.68, 2 Rh 2.71
Ir  0.5000  0.0000  0.0000  4 Fe 2.51, 4 Rh 2.69-2.79
Fe  0.0355  0.7616  0.0710  1 Fe 2.37, 2 Rh 2.45, 4 Ir 2.47-2.65
Ir  0.1239  0.2936  0.2478  5 Fe 2.47-2.66, 2 Ir 2.65-2.68, 2 Rh 2.71
Fe  0.9645  0.2384  0.9290  1 Fe 2.37, 2 Rh 2.45, 4 Ir 2.47-2.65
Ir  0.8026  0.1193  0.6052  5 Fe 2.59-2.89, 4 Ir 2.65-2.71, 2 Rh 2.84
Fe  0.7190  0.5523  0.4380  1 Rh 2.40, 2 Fe 2.44, 6 Ir 2.55-2.68

---

(5)
Density functional theory data (PBE-GGA) for an optimized crystal structure of FeIr5Rh2.

M_tot (μB/atom): 0.27
Polymorph energy (0 for the lowest one) (meV per atom): 0
V (Å³ per atom): 14.14
Formation enthalpy at 0 K (eV/atom): -0.02

Lattice parameters (Å, degrees): 3.8418 3.8418 8.1303 103.67 103.67 90.00
With the nearest neighbours (Å) after each atom.
Sites, in units of the cell vectors:
Ir  0.1227  0.6227  0.2455  2 Fe 2.69, 6 Ir 2.69-2.72, 4 Rh 2.73-2.75
Ir  0.6227  0.1227  0.2455  6 Ir 2.69-2.72, 2 Fe 2.69, 4 Rh 2.73-2.75
Ir  0.5000  0.5000  0.0000  8 Ir 2.69, 4 Fe 2.72
Rh  0.2493  0.2493  0.4985  4 Rh 2.72, 8 Ir 2.73-2.75
Fe  0.0000  0.0000  0.0000  12 Ir 2.69-2.72
Rh  0.7507  0.7507  0.5015  4 Rh 2.72, 8 Ir 2.73-2.75
Ir  0.8773  0.3773  0.7545  2 Fe 2.69, 6 Ir 2.69-2.72, 4 Rh 2.73-2.75
Ir  0.3773  0.8773  0.7545  6 Ir 2.69-2.72, 2 Fe 2.69, 4 Rh 2.73-2.75

---

(6)
Density functional theory data (PBE-GGA) for an optimized crystal structure of Fe3IrRh6.

M_tot (μB/atom): 0.91
V (Å³ per atom): 13.66
Formation enthalpy at 0 K (eV/atom): -0.02

Lattice parameters (Å, degrees): 3.8166 8.3955 8.5287 91.09 90.00 90.00
With the nearest neighbours (Å) after each atom.
Sites, in units of the cell vectors:
Rh  0.7500  0.3537  0.3035  5 Fe 2.62-2.70, 6 Rh 2.69-2.71, 1 Ir 2.71
Rh  0.2500  0.1523  0.1980  8 Rh 2.65-2.74, 2 Fe 2.70, 2 Ir 2.73
Fe  0.2500  0.7456  0.9994  10 Rh 2.63-2.74, 2 Fe 2.70
Rh  0.2500  0.0544  0.9003  7 Rh 2.65-2.73, 4 Fe 2.67-2.74, 1 Ir 2.70
Rh  0.2500  0.8427  0.2956  4 Fe 2.64-2.65, 5 Rh 2.69-2.74, 3 Ir 2.72
Rh  0.2500  0.4514  0.1006  7 Fe 2.63-2.67, 5 Rh 2.66-2.71
Rh  0.7500  0.1573  0.7044  4 Fe 2.64-2.65, 5 Rh 2.69-2.74, 3 Ir 2.72
Fe  0.7500  0.4514  0.6016  8 Rh 2.63-2.66, 4 Fe 2.69-2.71
Rh  0.7500  0.9456  0.0997  7 Rh 2.65-2.73, 4 Fe 2.67-2.74, 1 Ir 2.70
Ir  0.7500  0.0491  0.4015  2 Ir 2.68, 10 Rh 2.70-2.73
Rh  0.2500  0.6463  0.6965  5 Fe 2.62-2.70, 6 Rh 2.69-2.71, 1 Ir 2.71
Fe  0.7500  0.6455  0.1992  8 Rh 2.62-2.67, 4 Fe 2.69-2.70
Fe  0.2500  0.3545  0.8008  8 Rh 2.62-2.67, 4 Fe 2.69-2.70
Fe  0.7500  0.2544  0.0006  10 Rh 2.63-2.74, 2 Fe 2.70
Ir  0.2500  0.9509  0.5985  2 Ir 2.68, 10 Rh 2.70-2.73
Rh  0.7500  0.5486  0.8994  7 Fe 2.63-2.67, 5 Rh 2.66-2.71
Rh  0.7500  0.8477  0.8020  8 Rh 2.65-2.74, 2 Fe 2.70, 2 Ir 2.73
Fe  0.2500  0.5486  0.3984  8 Rh 2.63-2.66, 4 Fe 2.69-2.71
Rh  0.7500  0.7438  0.4955  4 Fe 2.63-2.64, 3 Ir 2.70-2.72, 5 Rh 2.70-2.74
Rh  0.2500  0.2562  0.5045  4 Fe 2.63-2.64, 3 Ir 2.70-2.72, 5 Rh 2.70-2.74

---

(7)
Density functional theory data (PBE-GGA) for an optimized crystal structure of Fe3Ir7Rh2.

M_tot (μB/atom): 0.75
V (Å³ per atom): 14.29
Formation enthalpy at 0 K (eV/atom): 0.09

Lattice parameters (Å, degrees): 2.7279 4.6792 13.6669 79.44 90.00 90.00
With the nearest neighbours (Å) after each atom.
Sites, in units of the cell vectors:
Rh  0.5000  0.6672  0.6663  6 Ir 2.69-2.96, 4 Fe 2.70-2.74, 2 Rh 2.73
Ir  0.0000  0.0000  0.0000  8 Ir 2.69-2.73, 4 Fe 2.71
Ir  0.5000  0.0879  0.1615  3 Fe 2.58-2.65, 8 Ir 2.66-2.75, 1 Rh 2.80
Ir  0.0000  0.5755  0.1638  3 Fe 2.58-2.70, 7 Ir 2.66-2.75, 2 Rh 2.75
Fe  0.5000  0.5000  0.0000  10 Ir 2.65-2.71, 2 Fe 2.73
Rh  0.5000  0.3328  0.3337  6 Ir 2.69-2.96, 4 Fe 2.70-2.74, 2 Rh 2.73
Ir  0.5000  0.9121  0.8385  3 Fe 2.58-2.65, 8 Ir 2.66-2.75, 1 Rh 2.80
Ir  0.5000  0.7675  0.4659  2 Fe 2.45, 4 Ir 2.51-2.73, 1 Rh 2.69
Ir  0.0000  0.4245  0.8362  3 Fe 2.58-2.70, 7 Ir 2.66-2.75, 2 Rh 2.75
Ir  0.5000  0.2325  0.5341  2 Fe 2.45, 4 Ir 2.51-2.73, 1 Rh 2.69
Fe  0.0000  0.8378  0.3141  5 Ir 2.45-2.58, 4 Rh 2.70-2.74, 2 Fe 2.73
Fe  0.0000  0.1622  0.6859  5 Ir 2.45-2.58, 4 Rh 2.70-2.74, 2 Fe 2.73

---

(8)
Density functional theory data (PBE-GGA) for an optimized crystal structure of FeIrRh5.

M_tot (μB/atom): 0.34
V (Å³ per atom): 19.09
Formation enthalpy at 0 K (eV/atom): 1.11

Lattice parameters (Å, degrees): 4.4853 7.7189 5.9009 130.85 112.34 90.00
With the nearest neighbours (Å) after each atom.
Sites, in units of the cell vectors:
Rh  0.6912  0.7818  0.5635  1 Fe 2.36, 3 Rh 2.42-2.55, 1 Ir 2.64
Rh  0.1115  0.5000  0.0000  2 Fe 2.24
Fe  0.6115  0.5000  0.0000  6 Rh 2.24-2.36
Ir  0.3617  0.0000  0.0000  4 Rh 2.64
Rh  0.8135  0.2183  0.0000  1 Fe 2.36, 3 Rh 2.42-2.55, 1 Ir 2.64
Rh  0.8135  0.7817  0.0000  1 Fe 2.36, 3 Rh 2.42-2.55, 1 Ir 2.64
Rh  0.1277  0.2182  0.4365  1 Fe 2.36, 3 Rh 2.42-2.55, 1 Ir 2.64

---

(9)
Density functional theory data (PBE-GGA) for an optimized crystal structure of FeIr2Rh5.

M_tot (μB/atom): 0.42
Polymorph energy (0 for the lowest one) (meV per atom): 0
V (Å³ per atom): 14.08
Formation enthalpy at 0 K (eV/atom): -0.03

Lattice parameters (Å, degrees): 3.8367 3.8367 8.1206 103.66 103.66 90.00
With the nearest neighbours (Å) after each atom.
Sites, in units of the cell vectors:
Fe  0.0000  0.0000  0.0000  12 Rh 2.71
Rh  0.8754  0.3754  0.7508  2 Fe 2.71, 6 Rh 2.71, 4 Ir 2.71-2.72
Ir  0.7493  0.7493  0.4985  8 Rh 2.71-2.72, 4 Ir 2.71
Rh  0.3754  0.8754  0.7508  6 Rh 2.71, 2 Fe 2.71, 4 Ir 2.71-2.72
Ir  0.2507  0.2507  0.5015  8 Rh 2.71-2.72, 4 Ir 2.71
Rh  0.6246  0.1246  0.2492  6 Rh 2.71, 2 Fe 2.71, 4 Ir 2.71-2.72
Rh  0.5000  0.5000  0.0000  8 Rh 2.71, 4 Fe 2.71
Rh  0.1246  0.6246  0.2492  2 Fe 2.71, 6 Rh 2.71, 4 Ir 2.71-2.72

---

(10)
Density functional theory data (PBE-GGA) for an optimized crystal structure of FeIr2Rh.

M_tot (μB/atom): 0.98
V (Å³ per atom): 14.37
Formation enthalpy at 0 K (eV/atom): 0.19

Lattice parameters (Å, degrees): 4.5745 2.7060 4.6447 88.75 90.00 90.00
With the nearest neighbours (Å) after each atom.
Sites, in units of the cell vectors:
Rh  0.5000  0.2500  0.2500  4 Fe 2.66-2.71, 4 Ir 2.67, 2 Rh 2.71
Ir  0.0000  0.9959  0.9984  2 Fe 2.65, 6 Ir 2.66-2.74, 2 Rh 2.67
Ir  0.0000  0.5041  0.5016  2 Fe 2.65, 6 Ir 2.66-2.74, 2 Rh 2.67
Fe  0.5000  0.7500  0.7500  4 Ir 2.65, 4 Rh 2.66-2.71, 2 Fe 2.71

---

(11)
Density functional theory data (PBE-GGA) for an optimized crystal structure of Fe2Ir3Rh.

M_tot (μB/atom): 1.01
V (Å³ per atom): 13.81
Formation enthalpy at 0 K (eV/atom): -0.01

Lattice parameters (Å, degrees): 8.7090 4.6795 4.6914 119.92 90.00 90.00
With the nearest neighbours (Å) after each atom.
Sites, in units of the cell vectors:
Ir  0.5000  0.5000  0.0000  2 Rh 2.68, 4 Fe 2.69, 6 Ir 2.69-2.72
Rh  0.7500  0.8339  0.0000  6 Ir 2.68-2.69, 6 Fe 2.70-2.72
Fe  0.7500  0.1642  0.6631  6 Ir 2.66-2.69, 3 Fe 2.69-2.74, 3 Rh 2.70-2.72
Fe  0.2500  0.4989  0.6631  6 Ir 2.66-2.69, 3 Fe 2.69-2.74, 3 Rh 2.70-2.72
Ir  0.0000  0.8306  0.6613  4 Fe 2.66-2.68, 6 Ir 2.68-2.75, 2 Rh 2.69
Rh  0.2500  0.1661  0.0000  6 Ir 2.68-2.69, 6 Fe 2.70-2.72
Fe  0.7500  0.5011  0.3369  6 Ir 2.66-2.69, 3 Fe 2.69-2.74, 3 Rh 2.70-2.72
Fe  0.2500  0.8358  0.3369  6 Ir 2.66-2.69, 3 Fe 2.69-2.74, 3 Rh 2.70-2.72
Ir  0.0000  0.5000  0.0000  2 Rh 2.68, 4 Fe 2.69, 6 Ir 2.69-2.72
Ir  0.0000  0.1694  0.3387  4 Fe 2.66-2.68, 6 Ir 2.68-2.75, 2 Rh 2.69
Ir  0.5000  0.8306  0.6613  4 Fe 2.66-2.68, 6 Ir 2.68-2.75, 2 Rh 2.69
Ir  0.5000  0.1694  0.3387  4 Fe 2.66-2.68, 6 Ir 2.68-2.75, 2 Rh 2.69

---

(12)
Density functional theory data (PBE-GGA) for an optimized crystal structure of FeIrRh2.

M_tot (μB/atom): 0.82
V (Å³ per atom): 13.82
Formation enthalpy at 0 K (eV/atom): -0.05

Lattice parameters (Å, degrees): 4.6485 4.6485 4.6485 131.43 131.43 71.13
With the nearest neighbours (Å) after each atom.
Sites, in units of the cell vectors:
Ir  0.7500  0.2500  0.5000  4 Fe 2.69, 8 Rh 2.69-2.70
Fe  0.5000  0.5000  0.0000  4 Ir 2.69, 8 Rh 2.69-2.70
Rh  0.0000  0.0000  0.0000  4 Rh 2.69, 4 Ir 2.69, 4 Fe 2.70
Rh  0.2500  0.7500  0.5000  4 Fe 2.69, 4 Rh 2.69, 4 Ir 2.70